--- i ---
ErZrCd2, optimized geometry, DFT PBE-GGA; SG = P4/mmm
1.0
4.678 0.000 0.000
0.000 4.678 0.000
0.000 0.000 4.298
Er Zr Cd
1 1 2
Cartesian
0.000 0.000 0.000 Er
2.339 2.339 0.000 Zr
0.000 2.339 2.149 Cd
2.339 0.000 2.149 Cd

--- ii ---
ErZrCd2, optimized geometry, DFT PBE-GGA; SG = P4/mmm
1.0
3.615 0.000 0.000
0.000 3.615 0.000
0.000 0.000 7.222
Er Zr Cd
1 1 2
Cartesian
0.000 0.000 0.000 Er
0.000 0.000 3.611 Zr
1.807 1.807 1.901 Cd
1.807 1.807 5.320 Cd

ii is the most stable structure; the next one sits 1.2 kJ/mol of atoms above it.

--- i ---
ErZrCd2, optimized geometry, DFT PBE-GGA; SG = R-3m
1.0
1.666 0.962 10.234
-1.666 0.962 10.234
0.000 -1.923 10.234
Er Zr Cd
1 1 2
Cartesian
0.000 0.000 0.000 Er
0.000 0.000 15.352 Zr
0.000 0.000 7.611 Cd
0.000 0.000 23.092 Cd

--- ii ---
ErZrCd2, optimized geometry, DFT PBE-GGA; SG = Fm-3m
1.0
0.000 3.614 3.614
3.614 0.000 3.614
3.614 3.614 0.000
Er Zr Cd
1 1 2
Cartesian
0.000 0.000 0.000 Er
3.614 3.614 3.614 Zr
1.807 1.807 1.807 Cd
5.422 5.422 5.422 Cd

ii is the most stable structure; the next one sits 11.4 kJ/mol of atoms above it.

--- i ---
Eu3Cd, optimized geometry, DFT PBE-GGA; SG = I4/mmm
1.0
-2.580 2.580 5.241
2.580 -2.580 5.241
2.580 2.580 -5.241
Eu Cd
3 1
Cartesian
0.000 0.000 0.000 Eu
2.580 0.000 2.621 Eu
0.000 2.580 2.621 Eu
0.000 0.000 5.241 Cd

--- ii ---
Eu3Cd, optimized geometry, DFT PBE-GGA; SG = Pm-3m
1.0
5.195 0.000 0.000
0.000 5.195 0.000
0.000 0.000 5.195
Eu Cd
3 1
Cartesian
0.000 0.000 2.597 Eu
0.000 2.597 0.000 Eu
2.597 0.000 0.000 Eu
2.597 2.597 2.597 Cd

--- iii ---
Eu3Cd, optimized geometry, DFT PBE-GGA; SG = Fm-3m
1.0
0.000 4.099 4.099
4.099 0.000 4.099
4.099 4.099 0.000
Eu Cd
3 1
Cartesian
0.000 0.000 0.000 Eu
2.049 2.049 2.049 Eu
6.148 6.148 6.148 Eu
4.099 4.099 4.099 Cd

ii is the most stable structure; the next one sits 2.0 kJ/mol of atoms above it.

--- i ---
Eu2CdF, optimized geometry, DFT PBE-GGA; SG = R-3m
1.0
1.961 1.132 8.018
-1.961 1.132 8.018
0.000 -2.264 8.018
Eu Cd F
2 1 1
Cartesian
0.000 0.000 5.540 Eu
0.000 0.000 18.515 Eu
0.000 0.000 0.000 Cd
0.000 0.000 12.027 F

--- ii ---
Eu2CdF, optimized geometry, DFT PBE-GGA; SG = P4/mmm
1.0
3.461 0.000 0.000
0.000 3.461 0.000
0.000 0.000 8.370
Eu Cd F
2 1 1
Cartesian
0.000 0.000 1.858 Eu
0.000 0.000 6.512 Eu
1.730 1.730 4.185 Cd
1.730 1.730 0.000 F

i is the most stable structure; the next one sits 16.7 kJ/mol of atoms above it.

--- i ---
EuCdHg2, optimized geometry, DFT PBE-GGA; SG = Fm-3m
1.0
0.000 3.712 3.712
3.712 0.000 3.712
3.712 3.712 0.000
Eu Cd Hg
1 1 2
Cartesian
0.000 0.000 0.000 Eu
3.712 3.712 3.712 Cd
1.856 1.856 1.856 Hg
5.568 5.568 5.568 Hg

--- ii ---
EuCdHg2, optimized geometry, DFT PBE-GGA; SG = P4/mmm
1.0
4.840 0.000 0.000
0.000 4.840 0.000
0.000 0.000 4.627
Eu Cd Hg
1 1 2
Cartesian
0.000 0.000 0.000 Eu
2.420 2.420 0.000 Cd
0.000 2.420 2.313 Hg
2.420 0.000 2.313 Hg

i is the most stable structure; the next one sits 5.0 kJ/mol of atoms above it.

--- i ---
EuCdIn2, optimized geometry, DFT PBE-GGA; SG = Fm-3m
1.0
0.000 3.759 3.759
3.759 0.000 3.759
3.759 3.759 0.000
Eu Cd In
1 1 2
Cartesian
0.000 0.000 0.000 Eu
3.759 3.759 3.759 Cd
1.879 1.879 1.879 In
5.638 5.638 5.638 In

--- ii ---
EuCdIn2, optimized geometry, DFT PBE-GGA; SG = P4/mmm
1.0
4.793 0.000 0.000
0.000 4.793 0.000
0.000 0.000 4.636
Eu Cd In
1 1 2
Cartesian
0.000 0.000 0.000 Eu
2.397 2.397 0.000 Cd
0.000 2.397 2.318 In
2.397 0.000 2.318 In

ii is the most stable structure; the next one sits 2.4 kJ/mol of atoms above it.

--- i ---
EuCdIn, optimized geometry, DFT PBE-GGA; SG = P-6m2
1.0
5.104 0.000 0.000
-2.552 4.421 0.000
0.000 0.000 3.692
Eu Cd In
1 1 1
Cartesian
0.000 0.000 0.000 Eu
2.552 1.474 1.846 Cd
0.000 2.947 1.846 In

--- ii ---
EuCdIn, optimized geometry, DFT PBE-GGA; SG = I4mm
1.0
-1.910 1.910 5.868
1.910 -1.910 5.868
1.910 1.910 -5.868
Eu Cd In
1 1 1
Cartesian
0.000 0.000 0.000 Eu
0.000 0.000 7.963 Cd
0.000 0.000 3.692 In

--- iii ---
EuCdIn, optimized geometry, DFT PBE-GGA; SG = F-43m
1.0
0.000 3.601 3.601
3.601 0.000 3.601
3.601 3.601 0.000
Eu Cd In
1 1 1
Cartesian
0.000 0.000 0.000 Eu
5.401 5.401 5.401 Cd
3.601 3.601 3.601 In

i is the most stable structure; the next one sits 12.0 kJ/mol of atoms above it.

--- i ---
Eu2CdIr, optimized geometry, DFT PBE-GGA; SG = Fm-3m
1.0
0.000 3.675 3.675
3.675 0.000 3.675
3.675 3.675 0.000
Eu Cd Ir
2 1 1
Cartesian
1.837 1.837 1.837 Eu
5.512 5.512 5.512 Eu
0.000 0.000 0.000 Cd
3.675 3.675 3.675 Ir

--- ii ---
Eu2CdIr, optimized geometry, DFT PBE-GGA; SG = P4/mmm
1.0
3.601 0.000 0.000
0.000 3.601 0.000
0.000 0.000 7.965
Eu Cd Ir
2 1 1
Cartesian
0.000 0.000 1.668 Eu
0.000 0.000 6.296 Eu
1.801 1.801 3.982 Cd
1.801 1.801 0.000 Ir

ii is the most stable structure; the next one sits 5.3 kJ/mol of atoms above it.